A relaxed structure of TaW2C. Source: Alexandria, functional PBEsol.

Results
Total magnetization in μB/f.u.: 0.00
Electronic total energy in eV/atom: -12.111
ΔH_f (0 K) in eV/f.u.: 1.37

Lattice parameters (Å, degrees): 2.929 4.720 8.024 90.00 90.00 90.00
Space group Immm (No. 71)
Inequivalent atoms, fractional coordinates:
Ta 0.000 0.000 0.000 [2 per cell]
W 0.000 0.500 0.189 [4 per cell]
C 0.000 0.000 0.500 [2 per cell]